# 1
BP | SCAN | single point on PBEsol structure

Calculated density: 3.00 g/cm³
E_tot: -9.4405 eV/atom

Cell: 4.521 4.521 4.521 Å, 90.00 90.00 90.00°
Space group F-43m (No. 216)
Unique sites:
B (0.000, 0.000, 0.000) x4
P (0.250, 0.250, 0.750) x4

=====

# 2
SrFeAg | SCAN | single point on PBEsol structure

Calculated density: 5.82 g/cm³
E_tot: -23.6511 eV/atom

Cell: 4.3654 4.3654 4.3466 Å, 90.00 90.00 120.00°
Space group P-6m2 (No. 187)
Unique sites:
Sr (0.0000, 0.0000, 0.0000) x1
Fe (0.6667, 0.3333, 0.5000) x1
Ag (0.3333, 0.6667, 0.5000) x1

=====

# 3
HoZn3 | SCAN | single point on PBEsol structure

Calculated density: 8.68 g/cm³
E_tot: -22.8232 eV/atom

Cell: 6.551 4.288 9.839 Å, 90.00 90.00 90.00°
Space group Pnma (No. 62)
Unique sites:
Ho (0.222, 0.250, 0.162) x4
Zn (0.037, 0.750, 0.396) x4
Zn (0.080, 0.250, 0.853) x4
Zn (0.219, 0.750, 0.956) x4

=====

# 4
YReSi4 | SCAN | single point on PBEsol structure

Calculated density: 7.20 g/cm³
E_tot: -22.7760 eV/atom

Cell: 7.098 7.098 7.098 Å, 90.00 90.00 90.00°
Space group F-43m (No. 216)
Unique sites:
Y (0.000, 0.000, 0.000) x4
Re (0.250, 0.250, 0.250) x4
Si (0.124, 0.124, 0.624) x16

=====

# 5
Sc2CdW | SCAN | single point on PBEsol structure

Calculated density: 8.36 g/cm³
E_tot: -32.1251 eV/atom

Cell: 3.754 4.430 9.224 Å, 90.00 90.00 90.00°
Space group Cmmm (No. 65)
Unique sites:
Sc (0.000, 0.000, 0.233) x4
Cd (0.000, 0.500, 0.500) x2
W (0.000, 0.500, 0.000) x2

=====

# 6
LaCoSn2Rh | SCAN | single point on PBEsol structure

Calculated density: 7.63 g/cm³
E_tot: -33.3501 eV/atom

Cell: 4.969 4.969 4.746 Å, 90.00 90.00 90.00°
Space group P4/mmm (No. 123)
Unique sites:
La (0.000, 0.000, 0.000) x1
Co (0.500, 0.500, 0.000) x1
Sn (0.000, 0.500, 0.500) x2
Rh (0.500, 0.500, 0.500) x1